(1)
A plane-wave DFT calculation with PBE-GGA was carried out for a geometry-optimized PtRh2Au structure.

Output
DFT total energy: -5.84 eV/atom
excess energy over the best structure of this formula in the dataset: 10.3 kJ/mol of atoms
D(E_F): 5.12 states/eV/cell
space group: No. 35
formation energy from the elements: 165 meV/atom

Cell lengths 2.760, 2.760, 9.570 Å; angles 90.00, 90.00, 120.05 degrees
Atoms (fractional coordinates):
Pt 0.000 0.000 0.000
Rh 0.000 0.000 0.478
Rh 0.500 0.500 0.246
Au 0.500 0.500 0.736

(2)
A plane-wave DFT calculation with PBE-GGA was carried out for a geometry-optimized CdCoBi2 structure.

Output
DFT total energy: -3.32 eV/atom
D(E_F): 6.21 states/eV/cell
space group: No. 166
formation energy from the elements: 627 meV/atom

Cell lengths 11.496, 11.496, 11.496 Å; angles 16.42, 16.42, 16.42 degrees
Atoms (fractional coordinates):
Cd 0.000 0.000 0.000
Co 0.500 0.500 0.500
Bi 0.424 0.424 0.424
Bi 0.576 0.576 0.576

(3)
A plane-wave DFT calculation with PBE-GGA was carried out for a geometry-optimized TaCoPt3 structure.

Output
DFT total energy: -6.47 eV/atom
excess energy over the best structure of this formula in the dataset: 0.0 kJ/mol of atoms
D(E_F): 7.80 states/eV/cell
space group: No. 221
formation energy from the elements: 945 meV/atom

Cell lengths 4.499, 4.499, 4.499 Å; angles 90.00, 90.00, 90.00 degrees
Atoms (fractional coordinates):
Ta 0.000 0.000 0.000
Co 0.500 0.500 0.500
Pt 0.000 0.500 0.500
Pt 0.500 0.000 0.500
Pt 0.500 0.500 0.000

(4)
A plane-wave DFT calculation with PBE-GGA was carried out for a geometry-optimized LiAlGe2 structure.

Output
DFT total energy: -3.77 eV/atom
excess energy over the best structure of this formula in the dataset: 2.2 kJ/mol of atoms
D(E_F): 1.46 states/eV/cell
space group: No. 123
formation energy from the elements: -51 meV/atom

Cell lengths 3.428, 3.428, 6.068 Å; angles 90.00, 90.00, 90.00 degrees
Atoms (fractional coordinates):
Li 0.000 0.000 0.000
Al 0.000 0.000 0.500
Ge 0.500 0.500 0.273
Ge 0.500 0.500 0.727